TbPm4Tm5 after structural relaxation. Source: Alexandria via LeMat-Bulk, functional PBE.

Unit cell a=6.200 b=7.907 c=7.907 alpha=81.16 beta=66.92 gamma=66.92
Sites, in units of the cell vectors:
Tb 0.219 0.000 0.000
Pm 0.407 0.391 0.699
Pm 0.798 0.699 0.609
Pm 0.106 0.301 0.391
Pm 0.497 0.609 0.301
Tm 0.799 0.378 0.924
Tm 0.177 0.924 0.622
Tm 0.723 0.076 0.378
Tm 0.100 0.622 0.076
Tm 0.685 0.000 0.000

Properties
Uncorrected energy: -4.306 eV per atom
Space-group type: I4, No. 79



Tb4Pm11Tm9 after structural relaxation. Source: Alexandria via LeMat-Bulk, functional PBE.

Unit cell a=3.660 b=15.239 c=15.239 alpha=113.03 beta=90.00 gamma=90.00
Sites, in units of the cell vectors:
Tb 0.500 0.555 0.757
Tb 0.500 0.445 0.243
Tb 0.500 0.757 0.555
Tb 0.500 0.243 0.445
Pm 0.000 0.594 0.956
Pm 0.000 0.406 0.044
Pm 0.000 0.956 0.594
Pm 0.000 0.044 0.406
Pm 0.000 0.633 0.367
Pm 0.000 0.367 0.633
Pm 0.000 0.840 0.160
Pm 0.000 0.160 0.840
Pm 0.000 0.000 0.000
Pm 0.000 0.709 0.709
Pm 0.000 0.291 0.291
Tm 0.500 0.632 0.165
Tm 0.500 0.368 0.835
Tm 0.500 0.165 0.632
Tm 0.500 0.835 0.368
Tm 0.500 0.787 0.933
Tm 0.500 0.213 0.067
Tm 0.500 0.933 0.787
Tm 0.500 0.067 0.213
Tm 0.500 0.500 0.500

Properties
Uncorrected energy: -4.569 eV per atom
Space-group type: Cmmm, No. 65



Tb3Pm5Tm after structural relaxation. Source: Alexandria via LeMat-Bulk, functional PBE.

Unit cell a=9.604 b=9.604 c=11.748 alpha=52.71 beta=52.71 gamma=74.86
Sites, in units of the cell vectors:
Tb 0.685 0.685 0.822
Tb 0.663 0.663 0.352
Tb 0.000 0.000 0.000
Tb 0.000 0.000 0.500
Tb 0.315 0.315 0.178
Tb 0.337 0.337 0.648
Pm 0.843 0.337 0.262
Pm 0.253 0.747 0.000
Pm 0.821 0.821 0.954
Pm 0.492 0.492 0.235
Pm 0.508 0.508 0.765
Pm 0.179 0.179 0.046
Pm 0.337 0.843 0.262
Pm 0.747 0.253 0.000
Pm 0.157 0.663 0.738
Pm 0.663 0.157 0.738
Tm 0.154 0.154 0.595
Tm 0.846 0.846 0.405

Properties
Uncorrected energy: -4.187 eV per atom
Space-group type: C2/m, No. 12



TbPm6Tm12 after structural relaxation. Source: Alexandria via LeMat-Bulk, functional PBE.

Unit cell a=8.585 b=8.585 c=8.585 alpha=79.69 beta=79.69 gamma=79.69
Sites, in units of the cell vectors:
Tb 0.000 0.000 0.000
Pm 0.768 0.768 0.164
Pm 0.836 0.232 0.232
Pm 0.232 0.836 0.232
Pm 0.232 0.232 0.836
Pm 0.164 0.768 0.768
Pm 0.768 0.164 0.768
Tm 0.804 0.486 0.486
Tm 0.486 0.804 0.486
Tm 0.486 0.486 0.804
Tm 0.196 0.514 0.514
Tm 0.514 0.196 0.514
Tm 0.514 0.514 0.196
Tm 0.137 0.137 0.483
Tm 0.863 0.517 0.863
Tm 0.517 0.863 0.863
Tm 0.863 0.863 0.517
Tm 0.137 0.483 0.137
Tm 0.483 0.137 0.137

Properties
Uncorrected energy: -4.445 eV per atom
Space-group type: R-3m, No. 166



Tb7PmTm4 after structural relaxation. Source: Alexandria via LeMat-Bulk, functional PBE.

Unit cell a=3.544 b=3.544 c=34.652 alpha=90.00 beta=90.00 gamma=120.00
Sites, in units of the cell vectors:
Tb 0.000 0.000 0.000
Tb 0.667 0.333 0.586
Tb 0.333 0.667 0.414
Tb 0.667 0.333 0.835
Tb 0.333 0.667 0.165
Tb 0.000 0.000 0.249
Tb 0.000 0.000 0.751
Pm 0.000 0.000 0.500
Tm 0.667 0.333 0.083
Tm 0.333 0.667 0.917
Tm 0.667 0.333 0.332
Tm 0.333 0.667 0.668

Properties
Uncorrected energy: -4.567 eV per atom
Space-group type: P-3m1, No. 164



Tb3Pm7Tm after structural relaxation. Source: Alexandria via LeMat-Bulk, functional PBE.

Unit cell a=8.686 b=7.165 c=7.165 alpha=120.00 beta=90.00 gamma=90.00
Sites, in units of the cell vectors:
Tb 0.782 0.499 0.501
Tb 0.782 0.499 0.999
Tb 0.782 0.001 0.501
Pm 0.113 0.167 0.833
Pm 0.113 0.167 0.335
Pm 0.123 0.667 0.333
Pm 0.454 0.833 0.167
Pm 0.454 0.335 0.167
Pm 0.454 0.833 0.665
Pm 0.113 0.665 0.833
Tm 0.445 0.333 0.667

Properties
Uncorrected energy: -4.514 eV per atom
Space-group type: P3m1, No. 156



Tb5Pm2Tm2 after structural relaxation. Source: Alexandria via LeMat-Bulk, functional PBE.

Unit cell a=3.558 b=9.430 c=9.615 alpha=102.19 beta=89.99 gamma=112.18
Sites, in units of the cell vectors:
Tb 0.856 0.356 0.212
Tb 0.144 0.644 0.788
Tb 0.314 0.314 0.533
Tb 0.686 0.686 0.467
Tb 0.000 0.000 0.000
Pm 0.528 0.028 0.684
Pm 0.472 0.972 0.316
Tm 0.337 0.337 0.889
Tm 0.663 0.663 0.111

Properties
Uncorrected energy: -4.591 eV per atom
Space-group type: P2/m, No. 10



Tb3Pm2Tm after structural relaxation. Source: Alexandria via LeMat-Bulk, functional PBE.

Unit cell a=5.553 b=8.827 c=12.465 alpha=42.80 beta=77.13 gamma=71.67
Sites, in units of the cell vectors:
Tb 0.084 0.937 0.895
Tb 0.916 0.063 0.105
Tb 0.722 0.645 0.911
Tb 0.278 0.355 0.089
Tb 0.749 0.157 0.344
Tb 0.251 0.843 0.656
Pm 0.894 0.549 0.662
Pm 0.106 0.451 0.338
Pm 0.595 0.219 0.591
Pm 0.405 0.781 0.409
Tm 0.441 0.272 0.846
Tm 0.559 0.728 0.154

Properties
Uncorrected energy: -4.559 eV per atom
Space-group type: C2/m, No. 12



TbPm8Tm6 after structural relaxation. Source: Alexandria via LeMat-Bulk, functional PBE.

Unit cell a=6.495 b=9.378 c=9.378 alpha=120.00 beta=90.00 gamma=90.00
Sites, in units of the cell vectors:
Tb 0.500 0.000 0.000
Pm 0.832 0.038 0.287
Pm 0.832 0.713 0.751
Pm 0.832 0.249 0.962
Pm 0.168 0.962 0.713
Pm 0.168 0.287 0.249
Pm 0.168 0.751 0.038
Pm 0.877 0.333 0.667
Pm 0.123 0.667 0.333
Tm 0.660 0.655 0.096
Tm 0.660 0.904 0.560
Tm 0.660 0.440 0.345
Tm 0.340 0.345 0.904
Tm 0.340 0.096 0.440
Tm 0.340 0.560 0.655

Properties
Uncorrected energy: -4.450 eV per atom
Space-group type: P-3, No. 147



Tb5Pm5Tm after structural relaxation. Source: Alexandria via LeMat-Bulk, functional PBE.

Unit cell a=6.129 b=6.129 c=11.518 alpha=90.00 beta=90.00 gamma=120.00
Sites, in units of the cell vectors:
Tb 0.667 0.333 0.157
Tb 0.667 0.333 0.843
Tb 0.333 0.667 0.316
Tb 0.333 0.667 0.684
Tb 0.000 0.000 0.000
Pm 0.340 0.170 0.500
Pm 0.000 0.000 0.263
Pm 0.830 0.660 0.500
Pm 0.830 0.170 0.500
Pm 0.000 0.000 0.737
Tm 0.333 0.667 0.000

Properties
Uncorrected energy: -4.335 eV per atom
Space-group type: P-6m2, No. 187



Tb5Pm4Tm3 after structural relaxation. Source: Alexandria via LeMat-Bulk, functional PBE.

Unit cell a=5.905 b=8.591 c=9.665 alpha=105.73 beta=72.21 gamma=69.90
Last column: magnetic moment on the atom in μB.
Sites, in units of the cell vectors:
Tb 0.631 0.941 0.797  0.01
Tb 0.500 0.500 0.500  0.15
Tb 0.213 0.458 0.115  0.01
Tb 0.787 0.542 0.885  0.01
Tb 0.369 0.059 0.203  0.01
Pm 0.861 0.222 0.056  0.00
Pm 0.164 0.053 0.620  0.00
Pm 0.836 0.947 0.380  0.00
Pm 0.139 0.778 0.944  0.00
Tm 0.522 0.689 0.267  0.01
Tm 0.000 0.500 0.500  0.17
Tm 0.478 0.311 0.733  0.01

Properties
Uncorrected energy: -4.402 eV per atom
Space-group type: C2/m, No. 12



Tb4PmTm after structural relaxation. Source: Alexandria via LeMat-Bulk, functional PBE.

Unit cell a=3.568 b=9.424 c=10.683 alpha=145.03 beta=70.46 gamma=100.98
Sites, in units of the cell vectors:
Tb 0.836 0.668 0.498
Tb 0.164 0.332 0.502
Tb 0.331 0.666 0.002
Tb 0.669 0.334 0.998
Pm 0.000 0.000 0.000
Tm 0.500 0.000 0.500

Properties
Uncorrected energy: -4.608 eV per atom
Space-group type: P-1, No. 2



TbPm4Tm6 after structural relaxation. Source: Alexandria via LeMat-Bulk, functional PBE.

Unit cell a=3.505 b=10.900 c=10.900 alpha=120.00 beta=90.00 gamma=90.00
Sites, in units of the cell vectors:
Tb 0.000 0.000 0.000
Pm 0.500 0.803 0.605
Pm 0.500 0.395 0.197
Pm 0.500 0.803 0.197
Pm 0.000 0.333 0.667
Tm 0.000 0.496 0.992
Tm 0.500 0.661 0.830
Tm 0.000 0.496 0.504
Tm 0.000 0.008 0.504
Tm 0.500 0.170 0.830
Tm 0.500 0.170 0.339

Properties
Uncorrected energy: -4.423 eV per atom
Space-group type: P-6m2, No. 187



TbPm2Tm5 after structural relaxation. Source: Alexandria via LeMat-Bulk, functional PBE.

Unit cell a=9.793 b=6.480 c=10.726 alpha=119.38 beta=117.16 gamma=90.00
Sites, in units of the cell vectors:
Tb 0.000 0.000 0.500
Tb 0.500 0.500 0.500
Pm 0.177 0.460 0.843
Pm 0.666 0.960 0.843
Pm 0.823 0.540 0.157
Pm 0.334 0.040 0.157
Tm 0.490 0.445 0.799
Tm 0.942 0.750 0.000
Tm 0.058 0.250 0.000
Tm 0.891 0.629 0.606
Tm 0.109 0.371 0.394
Tm 0.715 0.129 0.606
Tm 0.285 0.871 0.394
Tm 0.510 0.555 0.201
Tm 0.309 0.945 0.799
Tm 0.691 0.055 0.201

Properties
Uncorrected energy: -4.387 eV per atom
Space-group type: C2/c, No. 15



Tb7PmTm3 after structural relaxation. Source: Alexandria via LeMat-Bulk, functional PBE.

Unit cell a=8.561 b=7.058 c=7.058 alpha=120.00 beta=90.00 gamma=90.00
Sites, in units of the cell vectors:
Tb 0.114 0.168 0.832
Tb 0.114 0.168 0.336
Tb 0.121 0.667 0.333
Tb 0.452 0.832 0.168
Tb 0.452 0.336 0.168
Tb 0.452 0.832 0.664
Tb 0.114 0.664 0.832
Pm 0.445 0.333 0.667
Tm 0.784 0.500 0.500
Tm 0.784 0.500 0.001
Tm 0.784 0.999 0.500

Properties
Uncorrected energy: -4.403 eV per atom
Space-group type: P3m1, No. 156



Tb2PmTm after structural relaxation. Source: Alexandria via LeMat-Bulk, functional PBE.

Unit cell a=5.054 b=5.033 c=5.033 alpha=90.00 beta=90.00 gamma=90.00
Sites, in units of the cell vectors:
Tm 0.500 0.000 0.000
Tb 0.000 0.000 0.500
Tb 0.000 0.500 0.000
Pm 0.500 0.500 0.500

Properties
Uncorrected energy: -4.600 eV per atom
Space-group type: P4/mmm, No. 123



Tb6Pm2Tm3 after structural relaxation. Source: Alexandria via LeMat-Bulk, functional PBE.

Unit cell a=4.726 b=4.726 c=16.938 alpha=98.02 beta=98.02 gamma=90.00
Sites, in units of the cell vectors:
Tb 0.122 0.622 0.244
Tb 0.622 0.122 0.244
Tb 0.878 0.378 0.756
Tb 0.378 0.878 0.756
Tb 0.697 0.697 0.394
Tb 0.303 0.303 0.606
Pm 0.454 0.454 0.908
Pm 0.546 0.546 0.092
Tm 0.000 0.000 0.000
Tm 0.800 0.800 0.600
Tm 0.200 0.200 0.400

Properties
Uncorrected energy: -4.328 eV per atom
Space-group type: I4/mmm, No. 139



TbPm4Tm3 after structural relaxation. Source: Alexandria via LeMat-Bulk, functional PBE.

Unit cell a=6.281 b=7.292 c=11.447 alpha=90.00 beta=90.00 gamma=90.00
Sites, in units of the cell vectors:
Tb 0.149 0.377 0.000
Tb 0.649 0.623 0.500
Pm 0.142 0.872 0.000
Pm 0.650 0.129 0.000
Pm 0.982 0.127 0.253
Pm 0.482 0.873 0.247
Pm 0.150 0.871 0.500
Pm 0.642 0.128 0.500
Pm 0.482 0.873 0.753
Pm 0.982 0.127 0.747
Tm 0.648 0.620 0.000
Tm 0.981 0.621 0.250
Tm 0.481 0.379 0.250
Tm 0.148 0.380 0.500
Tm 0.481 0.379 0.750
Tm 0.981 0.621 0.750

Properties
Uncorrected energy: -4.607 eV per atom
Space-group type: Pmn2_1, No. 31



Tb4Pm3Tm8 after structural relaxation. Source: Alexandria via LeMat-Bulk, functional PBE.

Unit cell a=6.685 b=9.225 c=9.225 alpha=87.88 beta=111.20 gamma=111.20
Sites, in units of the cell vectors:
Tb 0.500 0.000 0.000
Tb 0.000 0.500 0.000
Tb 0.000 0.000 0.000
Tb 0.000 0.000 0.500
Pm 0.500 0.500 0.000
Pm 0.500 0.000 0.500
Pm 0.500 0.500 0.500
Tm 0.527 0.266 0.266
Tm 0.000 0.639 0.361
Tm 0.006 0.265 0.265
Tm 0.500 0.747 0.253
Tm 0.500 0.253 0.747
Tm 0.994 0.735 0.735
Tm 0.000 0.361 0.639
Tm 0.473 0.734 0.734

Properties
Uncorrected energy: -4.176 eV per atom
Space-group type: C2/m, No. 12